1.
# CeY4Tm2

A relaxed CeY4Tm2 crystal (PBE-GGA, the Alexandria database).

- Formation enthalpy at 0 K: 187 meV per atom
- Space group: Cmcm
- Crystal system: orthorhombic
- Distance to the lowest polymorph of the same formula: 2.60 kcal/mol of atoms

a = 5.5947 Å, b = 5.5778 Å, c = 16.7403 Å
α = 90.00°, β = 90.00°, γ = 120.10°
Site moments in Bohr magnetons follow the coordinates.
Fractional coordinates of all 14 atoms:
Y1 0.1688 0.3375 0.6448  0.00
Y2 0.8312 0.6625 0.3552  0.00
Y3 0.5000 0.0000 0.5000  0.00
Y4 0.8312 0.6625 0.1448  0.00
Y5 0.1645 0.3290 0.2500  0.07
Y6 0.5000 0.0000 0.0000  0.00
Y7 0.1688 0.3375 0.8552  0.00
Y8 0.8355 0.6710 0.7500  0.07
Ce1 0.4978 0.9957 0.2500  0.72
Ce2 0.5022 0.0043 0.7500  0.72
Tm1 0.8345 0.6690 0.5560  0.03
Tm2 0.1655 0.3310 0.4440  0.03
Tm3 0.8345 0.6690 0.9440  0.03
Tm4 0.1655 0.3310 0.0560  0.03

***

2.
# CdCoCl2

A relaxed CdCoCl2 crystal (PBE-GGA, the Alexandria database).

- Space group: Imm2
- Crystal system: orthorhombic
- Formation energy without anion corrections: -16.3 kJ/mol of atoms
- Distance to the lowest polymorph of the same formula: 4.31 kcal/mol of atoms

a = 5.9476 Å, b = 5.9476 Å, c = 5.9476 Å
α = 148.04°, β = 106.43°, γ = 82.46°
Site moments in Bohr magnetons follow the coordinates.
Fractional coordinates of all 4 atoms:
Cl1 0.0483 0.0483 0.0000  -0.02
Cl2 0.6712 0.1712 0.5000  0.02
Co1 0.5096 0.5096 0.0000  1.37
Cd1 0.2708 0.7708 0.5000  -0.04

***

3.
# Li4CdSe

A relaxed Li4CdSe crystal (PBE-GGA, the Alexandria database).

- Space group: F-43m
- Crystal system: cubic
- Formation energy without anion corrections: -17.8 kJ/mol of atoms

a = 5.4116 Å, b = 5.4116 Å, c = 5.4116 Å
α = 60.00°, β = 60.00°, γ = 60.00°
Fractional coordinates of all 6 atoms:
Li1 0.3746 0.8763 0.3746
Li2 0.3746 0.3746 0.3746
Li3 0.3746 0.3746 0.8763
Li4 0.8763 0.3746 0.3746
Se1 0.7500 0.7500 0.7500
Cd1 0.0000 0.0000 0.0000

***

4.
# LiTi2Ni

A relaxed LiTi2Ni crystal (PBE-GGA, the Alexandria database).

- Formation enthalpy at 0 K: 11 meV per atom
- Space group: Fm-3m
- Crystal system: cubic
- Distance to the lowest polymorph of the same formula: 0.00 kcal/mol of atoms

a = 4.3245 Å, b = 4.3245 Å, c = 4.3245 Å
α = 60.00°, β = 60.00°, γ = 60.00°
Site moments in Bohr magnetons follow the coordinates.
Fractional coordinates of all 4 atoms:
Li1 0.0000 0.0000 0.0000  0.04
Ni1 0.5000 0.5000 0.5000  0.47
Ti1 0.2500 0.2500 0.2500  0.50
Ti2 0.7500 0.7500 0.7500  0.50

***

5.
# PrTmRe

A relaxed PrTmRe crystal (PBE-GGA, the Alexandria database).

- Formation enthalpy at 0 K: 272 meV per atom
- Space group: C2/m
- Crystal system: monoclinic

a = 7.1155 Å, b = 7.1155 Å, c = 15.1206 Å
α = 29.23°, β = 29.23°, γ = 32.92°
Fractional coordinates of all 6 atoms:
Pr1 0.3944 0.3944 0.4156
Pr2 0.3588 0.3588 0.8917
Tm1 0.0722 0.0722 0.9034
Tm2 0.6810 0.6810 0.4040
Re1 0.8559 0.8559 0.5904
Re2 0.8973 0.8973 0.7169

***

6.
# CrHgSe2

A relaxed CrHgSe2 crystal (PBE-GGA, the Alexandria database).

- Space group: P4/mmm
- Crystal system: tetragonal
- Formation energy without anion corrections: -9.2 kJ/mol of atoms

a = 3.9469 Å, b = 3.9472 Å, c = 5.6518 Å
α = 90.00°, β = 90.00°, γ = 90.00°
Site moments in Bohr magnetons follow the coordinates.
Fractional coordinates of all 4 atoms:
Se1 0.5000 0.5000 0.3752  -0.11
Se2 0.0000 0.0000 0.8750  -0.09
Cr1 0.0000 0.0000 0.3745  3.71
Hg1 0.5000 0.5000 0.8753  0.02

***

7.
# Sm3In4

A relaxed Sm3In4 crystal (PBE-GGA, the Alexandria database).

- Formation enthalpy at 0 K: -317 meV per atom
- Space group: R-3m
- Crystal system: trigonal
- Distance to the lowest polymorph of the same formula: 3.65 kcal/mol of atoms

a = 5.2781 Å, b = 5.2781 Å, c = 9.3530 Å
α = 73.61°, β = 73.61°, γ = 60.00°
Fractional coordinates of all 7 atoms:
In1 0.6209 0.6209 0.1374
In2 0.1265 0.1265 0.6206
In3 0.8735 0.8735 0.3794
In4 0.3791 0.3791 0.8626
Sm1 0.7554 0.7554 0.7337
Sm2 0.0000 0.0000 0.0000
Sm3 0.2446 0.2446 0.2663

***

8.
# Cs4PmI6

A relaxed Cs4PmI6 crystal (PBE-GGA, the Alexandria database).

- Space group: P4/mnc
- Crystal system: tetragonal
- Formation energy without anion corrections: -136.9 kJ/mol of atoms

a = 10.4523 Å, b = 10.4523 Å, c = 10.9196 Å
α = 90.00°, β = 90.00°, γ = 90.00°
Site moments in Bohr magnetons follow the coordinates.
Fractional coordinates of all 22 atoms:
Cs1 0.3322 0.1678 0.2500  0.00
Cs2 0.8322 0.3322 0.2500  0.00
Cs3 0.8322 0.3322 0.7500  0.00
Cs4 0.1678 0.6678 0.2500  0.00
Cs5 0.1678 0.6678 0.7500  0.00
Cs6 0.3322 0.1678 0.7500  0.00
Cs7 0.6678 0.8322 0.2500  0.00
Cs8 0.6678 0.8322 0.7500  0.00
I1 0.5000 0.5000 0.2894  0.00
I2 0.7047 0.0978 0.5000  0.00
I3 0.9022 0.7047 0.5000  0.00
I4 0.2047 0.4022 0.0000  0.00
I5 0.5978 0.2047 0.0000  0.00
I6 0.4022 0.7953 0.0000  0.00
I7 0.0000 0.0000 0.2106  0.00
I8 0.7953 0.5978 0.0000  0.00
I9 0.0978 0.2953 0.5000  0.00
I10 0.0000 0.0000 0.7894  0.00
I11 0.5000 0.5000 0.7106  0.00
I12 0.2953 0.9022 0.5000  0.00
Pm1 0.0000 0.0000 0.5000  0.48
Pm2 0.5000 0.5000 0.0000  0.48

***

9.
# As2OsBr

A relaxed As2OsBr crystal (PBE-GGA, the Alexandria database).

- Space group: Cmmm
- Crystal system: orthorhombic
- Formation energy without anion corrections: 94.5 kJ/mol of atoms
- Distance to the lowest polymorph of the same formula: 20.96 kcal/mol of atoms

a = 4.9425 Å, b = 4.9425 Å, c = 3.2278 Å
α = 90.00°, β = 90.00°, γ = 113.63°
Fractional coordinates of all 4 atoms:
As1 0.5000 0.5000 0.0000
As2 0.0000 0.0000 0.0000
Br1 0.5000 0.0000 0.5000
Os1 0.0000 0.5000 0.5000

***

10.
# TbScInHg

A relaxed TbScInHg crystal (PBE-GGA, the Alexandria database).

- Formation enthalpy at 0 K: -435 meV per atom
- Space group: F-43m
- Crystal system: cubic

a = 5.1754 Å, b = 5.1754 Å, c = 5.1754 Å
α = 60.00°, β = 60.00°, γ = 60.00°
Site moments in Bohr magnetons follow the coordinates.
Fractional coordinates of all 4 atoms:
Sc1 0.0000 0.0000 0.0000  0.21
In1 0.7500 0.7500 0.7500  -0.01
Tb1 0.5000 0.5000 0.5000  0.12
Hg1 0.2500 0.2500 0.2500  0.02

***

11.
# MgGaS2O8

A relaxed MgGaS2O8 crystal (PBE-GGA, the Alexandria database).

- Space group: I-4m2
- Crystal system: tetragonal
- Formation energy without anion corrections: -140.8 kJ/mol of atoms

a = 5.6601 Å, b = 5.6601 Å, c = 5.6601 Å
α = 105.23°, β = 105.23°, γ = 118.34°
Fractional coordinates of all 12 atoms:
O1 0.3455 0.1715 0.8260
O2 0.4174 0.0868 0.3306
O3 0.8285 0.6545 0.1740
O4 0.3455 0.5195 0.1740
O5 0.4805 0.6545 0.8260
O6 0.9132 0.2438 0.3306
O7 0.9132 0.5826 0.6694
O8 0.7562 0.0868 0.6694
S1 0.7500 0.2500 0.5000
S2 0.5000 0.5000 0.0000
Ga1 0.0000 0.0000 0.0000
Mg1 0.2500 0.7500 0.5000

***

12.
# KCd2Cu

A relaxed KCd2Cu crystal (PBE-GGA, the Alexandria database).

- Formation enthalpy at 0 K: 108 meV per atom
- Space group: Pmmm
- Crystal system: orthorhombic
- Distance to the lowest polymorph of the same formula: 1.76 kcal/mol of atoms

a = 3.1318 Å, b = 3.6731 Å, c = 8.5822 Å
α = 90.00°, β = 90.00°, γ = 90.00°
Fractional coordinates of all 4 atoms:
Cd1 0.0000 0.0000 0.4263
Cd2 0.0000 0.0000 0.0737
Cu1 0.5000 0.5000 0.2500
K1 0.5000 0.5000 0.7500

***

Record order is preserved below.
Magnetic moment: 1.00; 1.34; 0.38; 1.74; 0.00; 3.87; 0.00; 1.02; 0.00; 0.51; 0.00; 0.00 μB/f.u.
Record order is preserved below.
Uncorrected energy: -5.632; -3.097; -2.193; -5.860; -6.961; -4.318; -3.904; -3.007; -4.571; -3.935; -5.838; -1.648 eV/atom